This record from Alexandria via LeMat-Bulk describes crystalline GdTlIr at its relaxed geometry. The functional is PBE.

Cell lengths 4.7484, 4.7484, 4.7484 Å; angles 60.00, 60.00, 60.00 degrees
Positions (direct):
Gd 0.0000 0.0000 0.0000
Tl 0.5000 0.5000 0.5000
Ir 0.2500 0.2500 0.2500

Summary:
energy of formation = -364 meV/atom


This record from Alexandria via LeMat-Bulk describes crystalline DyInCo4 at its relaxed geometry. The functional is PBE.

Cell lengths 4.9916, 4.9916, 4.9916 Å; angles 60.00, 60.00, 60.00 degrees
Positions (direct):
Dy 0.0000 0.0000 0.0000
In 0.2500 0.2500 0.2500
Co 0.1265 0.6245 0.6245
Co 0.6245 0.1265 0.6245
Co 0.6245 0.6245 0.1265
Co 0.6245 0.6245 0.6245

Summary:
energy of formation = -142 meV/atom


This record from Alexandria via LeMat-Bulk describes crystalline PuInSe at its relaxed geometry. The functional is PBE.

Cell lengths 13.6754, 13.6754, 13.6754 Å; angles 165.04, 165.04, 21.22 degrees
Positions (direct):
Pu 0.1474 0.1474 0.0000
Pu 0.8526 0.8526 0.0000
In 0.4462 0.4462 0.0000
In 0.5538 0.5538 0.0000
Se 0.3024 0.3024 0.0000
Se 0.6976 0.6976 0.0000

Summary:
formation energy without anion corrections = -1.92 eV per formula unit


This record from Alexandria via LeMat-Bulk describes crystalline Ba2NaPdAu6 at its relaxed geometry. The functional is PBE.

Cell lengths 7.3930, 7.3930, 7.3930 Å; angles 60.00, 60.00, 60.00 degrees
Positions (direct):
Ba 0.2500 0.2500 0.2500
Ba 0.7500 0.7500 0.7500
Na 0.0000 0.0000 0.0000
Pd 0.5000 0.5000 0.5000
Au 0.2519 0.2519 0.7481
Au 0.2519 0.7481 0.2519
Au 0.2519 0.7481 0.7481
Au 0.7481 0.2519 0.2519
Au 0.7481 0.2519 0.7481
Au 0.7481 0.7481 0.2519

Summary:
energy of formation = -206 meV/atom


This record from Alexandria via LeMat-Bulk describes crystalline Nd4ErTm at its relaxed geometry. The functional is PBE.

Cell lengths 8.2775, 8.2775, 3.4789 Å; angles 90.00, 90.00, 90.00 degrees
Positions (direct):
Nd 0.2390 0.7610 0.0000
Nd 0.2602 0.2602 0.5000
Nd 0.7398 0.7398 0.5000
Nd 0.7610 0.2390 0.0000
Er 0.5000 0.5000 0.0000
Tm 0.0000 0.0000 0.5000

Summary:
energy of formation = 614 meV/atom
energy above the lowest structure with this stoichiometry = 0.555 eV per atom


This record from Alexandria via LeMat-Bulk describes crystalline Na4InHg12 at its relaxed geometry. The functional is PBE.

Cell lengths 8.4257, 8.4257, 8.4257 Å; angles 109.47, 109.47, 109.47 degrees
Positions (direct):
Na 0.0000 0.0000 0.5000
Na 0.0000 0.5000 0.0000
Na 0.5000 0.0000 0.0000
Na 0.5000 0.5000 0.5000
In 0.0000 0.0000 0.0000
Hg 0.0000 0.2992 0.2992
Hg 0.0000 0.7008 0.7008
Hg 0.2500 0.5000 0.7500
Hg 0.2500 0.7500 0.5000
Hg 0.2992 0.0000 0.2992
Hg 0.2992 0.2992 0.0000
Hg 0.5000 0.2500 0.7500
Hg 0.5000 0.7500 0.2500
Hg 0.7008 0.0000 0.7008
Hg 0.7008 0.7008 0.0000
Hg 0.7500 0.2500 0.5000
Hg 0.7500 0.5000 0.2500

Summary:
energy of formation = -135 meV/atom


This record from Alexandria via LeMat-Bulk describes crystalline Pr2Nd2Pd at its relaxed geometry. The functional is PBE.

Cell lengths 7.1921, 7.1921, 7.7406 Å; angles 104.03, 104.03, 113.66 degrees
Positions (direct):
Pr 0.2373 0.2373 0.4003
Pr 0.2590 0.2590 0.8744
Pr 0.7410 0.7410 0.1256
Pr 0.7627 0.7627 0.5997
Nd 0.2377 0.6763 0.2458
Nd 0.3237 0.7623 0.7542
Nd 0.6763 0.2377 0.2458
Nd 0.7623 0.3237 0.7542
Pd 0.1187 0.8813 0.0000
Pd 0.8813 0.1187 0.0000

Summary:
energy of formation = -211 meV/atom


This record from Alexandria via LeMat-Bulk describes crystalline Tm7Zn2Te2 at its relaxed geometry. The functional is PBE.

Cell lengths 9.1234, 9.1234, 9.1234 Å; angles 153.96, 69.01, 117.37 degrees
Positions (direct):
Tm 0.0000 0.0000 0.0000
Tm 0.2771 0.4076 0.8695
Tm 0.3009 0.6163 0.6846
Tm 0.5381 0.4076 0.1305
Tm 0.6114 0.2528 0.3586
Tm 0.8942 0.2528 0.6414
Tm 0.9318 0.6163 0.3154
Zn 0.1527 0.9201 0.2326
Zn 0.6875 0.9201 0.7674
Te 0.2647 0.7647 0.5000
Te 0.6563 0.6563 0.0000

Summary:
energy above the lowest structure with this stoichiometry = 0.000 eV per atom
formation energy without anion corrections = -6.39 eV per formula unit


This record from Alexandria via LeMat-Bulk describes crystalline PrTlAgS2 at its relaxed geometry. The functional is PBE.

Cell lengths 5.9422, 6.0266, 8.1145 Å; angles 90.00, 104.49, 90.00 degrees
Positions (direct):
Pr 0.0000 0.0066 0.2500
Pr 0.0000 0.9934 0.7500
Tl 0.5000 0.3438 0.2500
Tl 0.5000 0.6562 0.7500
Ag 0.0000 0.5000 0.0000
Ag 0.0000 0.5000 0.5000
S 0.2678 0.1911 0.5527
S 0.2678 0.8089 0.0527
S 0.7322 0.1911 0.9473
S 0.7322 0.8089 0.4473

Summary:
formation energy without anion corrections = -3.95 eV per formula unit


This record from Alexandria via LeMat-Bulk describes crystalline ReTeW2 at its relaxed geometry. The functional is PBE.

Cell lengths 3.8618, 3.8618, 4.6062 Å; angles 90.00, 90.00, 90.00 degrees
Positions (direct):
Re 0.0000 0.0000 0.0000
Te 0.5000 0.5000 0.0000
W 0.0000 0.5000 0.5000
W 0.5000 0.0000 0.5000

Summary:
formation energy without anion corrections = 3.76 eV per formula unit


This record from Alexandria via LeMat-Bulk describes crystalline Y3Sb at its relaxed geometry. The functional is PBE.

Cell lengths 6.1317, 6.1317, 6.1317 Å; angles 90.00, 90.00, 90.00 degrees
Positions (direct):
Y 0.0000 0.2500 0.5000
Y 0.0000 0.7500 0.5000
Y 0.2500 0.5000 0.0000
Y 0.5000 0.0000 0.2500
Y 0.5000 0.0000 0.7500
Y 0.7500 0.5000 0.0000
Sb 0.0000 0.0000 0.0000
Sb 0.5000 0.5000 0.5000

Summary:
energy above the lowest structure with this stoichiometry = 0.190 eV per atom
formation energy without anion corrections = -1.73 eV per formula unit


This record from Alexandria via LeMat-Bulk describes crystalline BaYTe2I at its relaxed geometry. The functional is PBE.

Cell lengths 5.9544, 5.9544, 5.8856 Å; angles 90.00, 90.00, 90.00 degrees
Positions (direct):
Ba 0.0000 0.0000 0.0000
Y 0.5000 0.5000 0.5000
Te 0.0000 0.5000 0.5000
Te 0.5000 0.0000 0.5000
I 0.5000 0.5000 0.0000

Summary:
energy above the lowest structure with this stoichiometry = 0.000 eV per atom
formation energy without anion corrections = -6.71 eV per formula unit


Q: Which formula does entry 9 have?
A: PrTlAgS2